## MoBrCl (PBE-GGA)

Data for a relaxed MoBrCl crystal.

Summary:
Space group: P2_1/m
Formation energy (no corrections): -100 kJ/mol of formula units
Calculated total energy: -5.129 eV/atom

a = 3.204 Å, b = 10.132 Å, c = 9.531 Å
α = 75.98°, β = 90.00°, γ = 90.00°
Fractional coordinates of all 12 atoms:
Cl1 0.250 0.315 0.480
Mo1 0.250 0.806 0.648
Br1 0.750 0.515 0.158
Br2 0.750 0.015 0.658
Cl2 0.250 0.815 0.980
Mo2 0.750 0.694 0.852
Mo3 0.750 0.194 0.352
Mo4 0.250 0.306 0.148
Br3 0.250 0.985 0.342
Cl3 0.750 0.685 0.520
Br4 0.250 0.485 0.842
Cl4 0.750 0.185 0.020